Entry 1:
The following is a meta-GGA SCAN calculation of a PBEsol-optimized structure of Tl2HgSb, from Alexandria.

Cell and atoms, written as extended XYZ:
```
4
Lattice="3.259 0.000 0.000 0.000 5.060 0.000 -1.028 0.000 6.574" Properties=species:S:1:pos:R:3 pbc="T T T"
Tl 0.000 0.000 0.000
Tl 0.270 2.530 4.648
Hg 1.775 2.530 1.395
Sb 1.700 0.000 3.090
```

Raw formation energy (eV per atom): 0.024
Space group: Pm (6)

Entry 2:
The following is a meta-GGA SCAN calculation of a PBEsol-optimized structure of FeRh5, from Alexandria.

Cell and atoms, written as extended XYZ:
```
6
Lattice="2.658 0.000 0.000 0.000 2.658 0.000 0.000 0.000 11.086" Properties=species:S:1:pos:R:3 pbc="T T T"
Fe 0.000 0.000 0.000
Rh 0.000 0.000 3.659
Rh 0.000 0.000 7.427
Rh 1.329 1.329 1.746
Rh 1.329 1.329 5.543
Rh 1.329 1.329 9.340
```

E_form (meV/atom): -40
Space group: P4/mmm (123)

Number 1: volume 108.4 Å³ per cell. Number 2: volume 78.3 Å³ per cell.